# TaBiTe2Au, optimized geometry, DFT GGA-PBE
# ΔE_f (raw) = 8.265 eV/f.u.
# Size of the total moment = 0.00 μB/f.u.
data_TaBiTe2Au
_symmetry_space_group_name_H-M 'P 4/m m m'
_symmetry_Int_Tables_number 123
_symmetry_space_group_name_Hall '-P 4 2'
_cell_length_a 5.840
_cell_length_b 5.840
_cell_length_c 5.359
_cell_angle_alpha 90.00
_cell_angle_beta 90.00
_cell_angle_gamma 90.00
loop_
_atom_site_label
_atom_site_type_symbol
_atom_site_fract_x
_atom_site_fract_y
_atom_site_fract_z
Ta1 Ta 0.000 0.000 0.000
Bi1 Bi 0.000 0.000 0.500
Te1 Te 0.000 0.500 0.500
Au1 Au 0.500 0.500 0.000